Zr2InPb (GGA-PBE, optimized geometry); M_tot = 0.0 μB per cell; DOS(E_F) = 0.7152 states/eV per atom; space group = Cm (8); DFT formation energy = -0.14 eV/atom
1.0
5.932 -1.668 0.000
5.932 1.668 0.000
-2.286 0.000 4.771
Zr In Pb
2 1 1
Cartesian
0.000 0.000 0.000
7.977 0.000 1.781
4.709 0.000 2.303
0.933 0.000 4.194

ZrInPb2 (GGA-PBE, optimized geometry); M_tot = 0.0 μB per cell; DOS(E_F) = 0.7331 states/eV per atom; space group = P4/mmm (123); DFT formation energy = -0.02 eV/atom
1.0
4.020 0.000 0.000
0.000 4.020 0.000
0.000 0.000 6.438
Zr In Pb
1 1 2
Cartesian
0.000 0.000 0.000
0.000 0.000 3.219
2.010 2.010 1.542
2.010 2.010 4.896

ZrInPb2 (GGA-PBE, optimized geometry); M_tot = 0.0 μB per cell; DOS(E_F) = 0.5030 states/eV per atom; space group = Pmmm (47); DFT formation energy = 0.04 eV/atom
1.0
3.398 0.000 0.000
0.000 5.500 0.000
0.000 0.000 5.634
Zr In Pb
1 1 2
Cartesian
0.000 0.000 0.000
1.699 0.000 2.817
0.000 2.750 2.817
1.699 2.750 0.000

ZrInPb2 (GGA-PBE, optimized geometry); M_tot = 0.0 μB per cell; DOS(E_F) = 0.7903 states/eV per atom; space group = R-3m (166); DFT formation energy = 0.05 eV/atom
1.0
1.658 0.957 11.628
-1.658 0.957 11.628
0.000 -1.915 11.628
Zr In Pb
1 1 2
Cartesian
0.000 0.000 0.000
0.000 0.000 17.442
0.000 0.000 8.935
0.000 0.000 25.949

ZrInPb2 (GGA-PBE, optimized geometry); M_tot = 0.0 μB per cell; DOS(E_F) = 1.0056 states/eV per atom; space group = I-42d (122); DFT formation energy = 0.25 eV/atom
1.0
-4.234 4.234 3.135
4.234 -4.234 3.135
4.234 4.234 -3.135
Zr In Pb
2 2 4
Cartesian
0.000 0.000 0.000
0.000 4.234 1.568
4.234 0.000 1.568
0.000 0.000 3.135
6.351 2.049 -0.784
2.049 2.117 0.784
-2.117 2.185 2.352
2.185 2.117 3.919

Zr3In2Pb (GGA-PBE, optimized geometry); M_tot = 0.0 μB per cell; DOS(E_F) = 1.0672 states/eV per atom; space group = Cmmm (65); DFT formation energy = -0.13 eV/atom
1.0
2.710 -8.144 0.000
2.710 8.144 0.000
0.000 0.000 3.130
Zr In Pb
3 2 1
Cartesian
0.000 0.000 0.000
2.710 2.730 0.000
2.710 -2.730 0.000
2.710 5.422 1.565
2.710 -5.422 1.565
2.710 0.000 1.565